Entry 1:
Nd6BiIr2: relaxed, PBE.

Cell: 10.5945 5.0742 9.8876 Å, 90.00 100.51 90.00°
Space group C2/m (No. 12)
Symmetry-distinct sites (fractional):
Nd: 0.0332 0.0000 0.3422 [4 per cell]
Nd: 0.1595 0.5000 0.8832 [4 per cell]
Nd: 0.2184 0.5000 0.3518 [4 per cell]
Bi: 0.0000 0.0000 0.0000 [2 per cell]
Ir: 0.1158 0.5000 0.5983 [4 per cell]

Values from the calculation:
The total energy is -0.2227 hartree per atom. The calculated volume is 29.0 Å³ per atom.

Entry 2:
Nd6Bi2Ir: relaxed, PBE.

Cell: 7.1432 7.1432 14.0432 Å, 90.00 90.00 90.00°
Space group P4_2/mnm (No. 136)
Symmetry-distinct sites (fractional):
Nd: 0.1878 0.1878 0.1470 [8 per cell]
Nd: 0.2189 0.2189 0.5000 [4 per cell]
Bi: 0.0000 0.0000 0.3310 [4 per cell]
Ir: 0.0000 0.0000 0.0000 [2 per cell]

Values from the calculation:
The total energy is -0.1962 hartree per atom. The calculated volume is 39.8 Å³ per atom.

Entry 3:
Nd3BiIr: relaxed, PBE.

Cell: 8.2456 4.4262 16.8612 Å, 90.00 90.00 90.00°
Space group Pnma (No. 62)
Symmetry-distinct sites (fractional):
Nd: 0.0138 0.2500 0.0923 [4 per cell]
Nd: 0.1414 0.7500 0.4514 [4 per cell]
Nd: 0.1667 0.2500 0.7027 [4 per cell]
Bi: 0.1322 0.2500 0.2987 [4 per cell]
Ir: 0.2301 0.7500 0.0419 [4 per cell]

Values from the calculation:
The total energy is -0.2248 hartree per atom. The calculated volume is 30.8 Å³ per atom.

Entry 4:
Nd3BiIr: relaxed, PBE.

Cell: 8.2316 4.5711 8.7882 Å, 90.00 113.34 90.00°
Space group P2_1/m (No. 11)
Symmetry-distinct sites (fractional):
Nd: 0.0428 0.2500 0.2466 [2 per cell]
Nd: 0.3223 0.7500 0.5905 [2 per cell]
Nd: 0.3321 0.2500 0.9246 [2 per cell]
Bi: 0.3282 0.7500 0.2029 [2 per cell]
Ir: 0.0795 0.2500 0.6015 [2 per cell]

Values from the calculation:
The total energy is -0.2232 hartree per atom. The calculated volume is 30.4 Å³ per atom.

Entry 5:
Nd8BiIr2: relaxed, PBE.

Cell: 8.8534 13.7954 5.7583 Å, 90.00 103.12 90.00°
Space group C2/m (No. 12)
Symmetry-distinct sites (fractional):
Nd: 0.0000 0.2496 0.0000 [4 per cell]
Nd: 0.1030 0.0000 0.7986 [4 per cell]
Nd: 0.2036 0.3723 0.5722 [8 per cell]
Bi: 0.0000 0.5000 0.0000 [2 per cell]
Ir: 0.0000 0.1993 0.5000 [4 per cell]

Values from the calculation:
The total energy is -0.2140 hartree per atom. The calculated volume is 31.1 Å³ per atom.

Entry 6:
Nd3BiIr: relaxed, PBE.

Cell: 5.5495 5.5495 5.5495 Å, 90.00 90.00 90.00°
Space group Pm-3m (No. 221)
Symmetry-distinct sites (fractional):
Nd: 0.0000 0.0000 0.5000 [3 per cell]
Bi: 0.5000 0.5000 0.5000 [1 per cell]
Ir: 0.0000 0.0000 0.0000 [1 per cell]

Values from the calculation:
The total energy is -0.2164 hartree per atom. The calculated volume is 34.2 Å³ per atom.